[1]
{"formula": "Ba3TbB9O18", "functional": "PBEsol", "state": "relaxed", "cell": [[7.210, 0.000, 0.000], [-3.605, 6.244, 0.000], [0.000, 0.000, 16.754]], "species": ["Ba", "Ba", "Ba", "Ba", "Ba", "Ba", "Tb", "Tb", "B", "B", "B", "B", "B", "B", "B", "B", "B", "B", "B", "B", "B", "B", "B", "B", "B", "B", "O", "O", "O", "O", "O", "O", "O", "O", "O", "O", "O", "O", "O", "O", "O", "O", "O", "O", "O", "O", "O", "O", "O", "O", "O", "O", "O", "O", "O", "O", "O", "O", "O", "O", "O", "O"], "fractional_positions": [[0.000, 0.000, 0.250], [0.000, 0.000, 0.750], [0.333, 0.667, 0.130], [0.333, 0.667, 0.370], [0.667, 0.333, 0.630], [0.667, 0.333, 0.870], [0.000, 0.000, 0.000], [0.000, 0.000, 0.500], [0.116, 0.621, 0.750], [0.164, 0.449, 0.584], [0.164, 0.449, 0.916], [0.285, 0.836, 0.584], [0.285, 0.836, 0.916], [0.379, 0.495, 0.750], [0.449, 0.285, 0.084], [0.449, 0.285, 0.416], [0.495, 0.116, 0.250], [0.505, 0.884, 0.750], [0.551, 0.715, 0.584], [0.551, 0.715, 0.916], [0.621, 0.505, 0.250], [0.715, 0.164, 0.084], [0.715, 0.164, 0.416], [0.836, 0.551, 0.084], [0.836, 0.551, 0.416], [0.884, 0.379, 0.250], [0.001, 0.248, 0.584], [0.001, 0.248, 0.916], [0.084, 0.415, 0.250], [0.122, 0.620, 0.583], [0.122, 0.620, 0.917], [0.167, 0.457, 0.750], [0.247, 0.999, 0.584], [0.247, 0.999, 0.916], [0.248, 0.247, 0.084], [0.248, 0.247, 0.416], [0.290, 0.833, 0.750], [0.331, 0.916, 0.250], [0.380, 0.502, 0.583], [0.380, 0.502, 0.917], [0.415, 0.331, 0.750], [0.457, 0.290, 0.250], [0.498, 0.878, 0.583], [0.498, 0.878, 0.917], [0.502, 0.122, 0.083], [0.502, 0.122, 0.417], [0.543, 0.710, 0.750], [0.585, 0.669, 0.250], [0.620, 0.498, 0.083], [0.620, 0.498, 0.417], [0.669, 0.084, 0.750], [0.710, 0.167, 0.250], [0.752, 0.753, 0.584], [0.752, 0.753, 0.916], [0.753, 0.001, 0.084], [0.753, 0.001, 0.416], [0.833, 0.543, 0.250], [0.878, 0.380, 0.083], [0.878, 0.380, 0.417], [0.916, 0.585, 0.750], [0.999, 0.752, 0.084], [0.999, 0.752, 0.416]], "total_magnetization_mub_per_cell": 0.001, "dos_at_fermi_per_ev_cell": 0.00, "e_form_raw_ev_per_atom": -2.73, "dft_energy_ev_per_atom": -8.18, "space_group": "No. 176"}


[2]
{"formula": "Mg2ZrCd", "functional": "PBEsol", "state": "relaxed", "cell": [[3.004, 0.000, 0.000], [0.000, 4.694, 0.000], [-1.475, 0.000, 6.018]], "species": ["Mg", "Mg", "Zr", "Cd"], "fractional_positions": [[0.000, 0.000, 0.000], [0.381, 0.500, 0.771], [0.645, 0.500, 0.283], [0.255, 0.000, 0.501]], "total_magnetization_mub_per_cell": 0.000, "dos_at_fermi_per_ev_cell": 1.94, "dft_energy_ev_per_atom": -3.47, "ef_ev_per_fu": -0.17, "space_group": "No. 6"}


[3]
{"formula": "NdMgTl2", "functional": "PBEsol", "state": "relaxed", "cell": [[0.000, 3.727, 3.727], [3.727, 0.000, 3.727], [3.727, 3.727, 0.000]], "species": ["Nd", "Mg", "Tl", "Tl"], "fractional_positions": [[0.000, 0.000, 0.000], [0.500, 0.500, 0.500], [0.250, 0.250, 0.250], [0.750, 0.750, 0.750]], "total_magnetization_mub_per_cell": 0.000, "dos_at_fermi_per_ev_cell": 1.81, "dft_energy_ev_per_atom": -3.36, "ef_ev_per_fu": -1.28, "space_group": "No. 225"}


[4]
{"formula": "AlCrPd3", "functional": "PBEsol", "state": "relaxed", "cell": [[4.528, 0.000, 0.000], [0.000, 4.528, 0.000], [0.000, 0.000, 4.528]], "species": ["Al", "Cr", "Pd", "Pd", "Pd"], "fractional_positions": [[0.000, 0.000, 0.000], [0.500, 0.500, 0.500], [0.000, 0.500, 0.500], [0.500, 0.000, 0.500], [0.500, 0.500, 0.000]], "total_magnetization_mub_per_cell": 3.133, "dos_at_fermi_per_ev_cell": 5.92, "dft_energy_ev_per_atom": -5.58, "ef_ev_per_fu": 4.30, "space_group": "No. 221"}


[5]
{"formula": "USeS", "functional": "PBEsol", "state": "relaxed", "cell": [[7.163, 0.000, 0.000], [0.000, 3.989, 0.000], [0.000, 0.000, 8.529]], "species": ["U", "U", "U", "U", "Se", "Se", "Se", "Se", "S", "S", "S", "S"], "fractional_positions": [[0.226, 0.250, 0.128], [0.274, 0.750, 0.628], [0.726, 0.250, 0.372], [0.774, 0.750, 0.872], [0.030, 0.750, 0.336], [0.470, 0.250, 0.836], [0.530, 0.750, 0.164], [0.970, 0.250, 0.664], [0.146, 0.750, 0.929], [0.354, 0.250, 0.429], [0.646, 0.750, 0.571], [0.854, 0.250, 0.071]], "total_magnetization_mub_per_cell": 7.881, "dos_at_fermi_per_ev_cell": 24.32, "e_form_raw_ev_per_atom": -1.26, "dft_energy_ev_per_atom": -8.06, "space_group": "No. 62"}


[6]
{"formula": "Sc2TcP", "functional": "PBEsol", "state": "relaxed", "cell": [[0.000, 3.119, 3.119], [3.119, 0.000, 3.119], [3.119, 3.119, 0.000]], "species": ["Sc", "Sc", "Tc", "P"], "fractional_positions": [[0.000, 0.000, 0.000], [0.250, 0.250, 0.250], [0.750, 0.750, 0.750], [0.500, 0.500, 0.500]], "total_magnetization_mub_per_cell": 0.000, "dos_at_fermi_per_ev_cell": 1.13, "dft_energy_ev_per_atom": -8.00, "ef_ev_per_fu": -1.73, "space_group": "No. 216"}


[7]
{"formula": "ReHPt3", "functional": "PBEsol", "state": "relaxed", "cell": [[3.962, 0.000, 0.000], [0.000, 3.962, 0.000], [0.000, 0.000, 3.962]], "species": ["Re", "H", "Pt", "Pt", "Pt"], "fractional_positions": [[0.000, 0.000, 0.000], [0.500, 0.500, 0.500], [0.000, 0.500, 0.500], [0.500, 0.000, 0.500], [0.500, 0.500, 0.000]], "total_magnetization_mub_per_cell": 0.005, "dos_at_fermi_per_ev_cell": 5.57, "dft_energy_ev_per_atom": -7.17, "space_group": "No. 221"}


[8]
{"formula": "TaFeNi2", "functional": "PBEsol", "state": "relaxed", "cell": [[3.044, 0.000, 0.000], [0.000, 3.079, 0.000], [0.000, 0.000, 5.221]], "species": ["Ta", "Fe", "Ni", "Ni"], "fractional_positions": [[0.000, 0.000, 0.000], [0.500, 0.500, 0.729], [0.000, 0.000, 0.503], [0.500, 0.500, 0.264]], "total_magnetization_mub_per_cell": 1.638, "dos_at_fermi_per_ev_cell": 3.66, "dft_energy_ev_per_atom": -8.57, "ef_ev_per_fu": -0.45, "space_group": "No. 25"}


[9]
{"formula": "TaSiNi2", "functional": "PBEsol", "state": "relaxed", "cell": [[0.000, 2.926, 2.926], [2.926, 0.000, 2.926], [2.926, 2.926, 0.000]], "species": ["Ta", "Si", "Ni", "Ni"], "fractional_positions": [[0.000, 0.000, 0.000], [0.250, 0.250, 0.250], [0.500, 0.500, 0.500], [0.750, 0.750, 0.750]], "total_magnetization_mub_per_cell": 0.000, "dos_at_fermi_per_ev_cell": 2.05, "e_form_raw_ev_per_atom": -0.31, "dft_energy_ev_per_atom": -7.96, "space_group": "No. 216"}


[10]
{"formula": "AgPS2N", "functional": "PBEsol", "state": "relaxed", "cell": [[4.733, 0.000, 0.000], [0.000, 4.733, 0.000], [0.000, 0.000, 4.892]], "species": ["Ag", "P", "S", "S", "N"], "fractional_positions": [[0.000, 0.000, 0.000], [0.000, 0.000, 0.500], [0.000, 0.500, 0.000], [0.500, 0.000, 0.000], [0.500, 0.500, 0.500]], "total_magnetization_mub_per_cell": 1.758, "dos_at_fermi_per_ev_cell": 4.39, "e_form_raw_ev_per_atom": 2.02, "dft_energy_ev_per_atom": -3.26, "space_group": "No. 123"}


[11]
{"formula": "K3LiHf", "functional": "PBEsol", "state": "relaxed", "cell": [[6.750, 0.000, 0.000], [0.000, 6.750, 0.000], [0.000, 0.000, 6.750]], "species": ["K", "K", "K", "Li", "Hf"], "fractional_positions": [[0.000, 0.000, 0.500], [0.000, 0.500, 0.000], [0.500, 0.000, 0.000], [0.500, 0.500, 0.500], [0.000, 0.000, 0.000]], "total_magnetization_mub_per_cell": 4.047, "dos_at_fermi_per_ev_cell": 11.54, "dft_energy_ev_per_atom": -1.91, "ef_ev_per_fu": 6.33, "space_group": "No. 221"}


[12]
{"formula": "Li2Fe2Si2O7", "functional": "PBEsol", "state": "relaxed", "cell": [[5.270, 0.000, 0.000], [2.631, 4.568, 0.000], [0.172, -0.021, 7.656]], "species": ["Li", "Li", "Fe", "Fe", "Si", "Si", "O", "O", "O", "O", "O", "O", "O"], "fractional_positions": [[0.175, 0.165, 0.189], [0.825, 0.835, 0.811], [0.159, 0.168, 0.787], [0.841, 0.832, 0.213], [0.495, 0.501, 0.712], [0.505, 0.499, 0.288], [0.200, 0.797, 0.781], [0.211, 0.500, 0.221], [0.491, 0.208, 0.781], [0.500, 0.500, 0.500], [0.509, 0.792, 0.219], [0.789, 0.500, 0.779], [0.800, 0.203, 0.219]], "total_magnetization_mub_per_cell": 8.000, "e_above_lowest_polymorph_mev_per_atom": 21, "e_form_raw_ev_per_atom": -1.98, "dft_energy_ev_per_atom": -7.37, "space_group": "No. 2"}


[13]
{"formula": "CsGa9Au5", "functional": "PBEsol", "state": "relaxed", "cell": [[7.602, 0.000, 0.000], [-3.801, 6.584, 0.000], [0.000, 0.000, 12.261]], "species": ["Cs", "Cs", "Ga", "Ga", "Ga", "Ga", "Ga", "Ga", "Ga", "Ga", "Ga", "Ga", "Ga", "Ga", "Ga", "Ga", "Ga", "Ga", "Ga", "Ga", "Au", "Au", "Au", "Au", "Au", "Au", "Au", "Au", "Au", "Au"], "fractional_positions": [[0.000, 0.000, 0.000], [0.000, 0.000, 0.500], [0.076, 0.538, 0.096], [0.076, 0.538, 0.404], [0.194, 0.388, 0.750], [0.194, 0.806, 0.750], [0.388, 0.194, 0.250], [0.462, 0.538, 0.096], [0.462, 0.538, 0.404], [0.462, 0.924, 0.096], [0.462, 0.924, 0.404], [0.538, 0.076, 0.596], [0.538, 0.076, 0.904], [0.538, 0.462, 0.596], [0.538, 0.462, 0.904], [0.612, 0.806, 0.750], [0.806, 0.194, 0.250], [0.806, 0.612, 0.250], [0.924, 0.462, 0.596], [0.924, 0.462, 0.904], [0.192, 0.384, 0.250], [0.192, 0.808, 0.250], [0.333, 0.667, 0.584], [0.333, 0.667, 0.916], [0.384, 0.192, 0.750], [0.616, 0.808, 0.250], [0.667, 0.333, 0.084], [0.667, 0.333, 0.416], [0.808, 0.192, 0.750], [0.808, 0.616, 0.750]], "total_magnetization_mub_per_cell": 0.000, "dos_at_fermi_per_ev_cell": 10.21, "dft_energy_ev_per_atom": -3.65, "ef_ev_per_fu": -4.09, "space_group": "No. 194"}


[14]
{"formula": "HfInSb2Te", "functional": "PBEsol", "state": "relaxed", "cell": [[5.482, 0.000, 0.000], [0.000, 5.482, 0.000], [0.000, 0.000, 5.469]], "species": ["Hf", "In", "Sb", "Sb", "Te"], "fractional_positions": [[0.000, 0.000, 0.000], [0.500, 0.500, 0.500], [0.000, 0.500, 0.000], [0.500, 0.000, 0.000], [0.000, 0.000, 0.500]], "total_magnetization_mub_per_cell": 0.000, "dos_at_fermi_per_ev_cell": 4.44, "e_form_raw_ev_per_atom": 0.10, "dft_energy_ev_per_atom": -5.13, "space_group": "No. 123"}


[15]
{"formula": "LiSmW2O8", "functional": "PBEsol", "state": "relaxed", "cell": [[5.007, 0.000, 0.000], [0.000, 5.816, 0.000], [-4.022, 0.000, 10.125]], "species": ["Li", "Li", "Sm", "Sm", "W", "W", "W", "W", "O", "O", "O", "O", "O", "O", "O", "O", "O", "O", "O", "O", "O", "O", "O", "O"], "fractional_positions": [[0.000, 0.241, 0.250], [0.000, 0.759, 0.750], [0.500, 0.296, 0.750], [0.500, 0.704, 0.250], [0.266, 0.179, 0.020], [0.266, 0.821, 0.520], [0.734, 0.179, 0.480], [0.734, 0.821, 0.980], [0.135, 0.112, 0.592], [0.135, 0.888, 0.092], [0.225, 0.366, 0.142], [0.225, 0.634, 0.642], [0.294, 0.381, 0.900], [0.294, 0.619, 0.400], [0.362, 0.071, 0.384], [0.362, 0.929, 0.884], [0.638, 0.071, 0.116], [0.638, 0.929, 0.616], [0.706, 0.381, 0.600], [0.706, 0.619, 0.100], [0.775, 0.366, 0.358], [0.775, 0.634, 0.858], [0.865, 0.112, 0.908], [0.865, 0.888, 0.408]], "total_magnetization_mub_per_cell": 0.000, "e_above_lowest_polymorph_mev_per_atom": 8, "dos_at_fermi_per_ev_cell": 0.00, "e_form_raw_ev_per_atom": -2.51, "dft_energy_ev_per_atom": -8.90, "space_group": "No. 13"}


[16]
{"formula": "ZnSi2Tc", "functional": "PBEsol", "state": "relaxed", "cell": [[4.399, -1.549, 0.000], [4.399, 1.549, 0.000], [-1.655, 0.000, 3.988]], "species": ["Zn", "Si", "Si", "Tc"], "fractional_positions": [[0.000, 0.000, 0.000], [0.525, 0.525, 0.547], [0.755, 0.755, 0.139], [0.251, 0.251, 0.590]], "total_magnetization_mub_per_cell": 0.000, "e_above_lowest_polymorph_mev_per_atom": 73, "dos_at_fermi_per_ev_cell": 2.44, "e_form_raw_ev_per_atom": -0.11, "dft_energy_ev_per_atom": -6.20, "space_group": "No. 8"}


[17]
{"formula": "ZnAg2Os", "functional": "PBEsol", "state": "relaxed", "cell": [[2.702, 0.000, 0.000], [0.000, 2.702, 0.000], [0.000, 0.000, 8.212]], "species": ["Zn", "Ag", "Ag", "Os"], "fractional_positions": [[0.000, 0.000, 0.000], [0.000, 0.000, 0.513], [0.500, 0.500, 0.244], [0.500, 0.500, 0.772]], "total_magnetization_mub_per_cell": 0.001, "dos_at_fermi_per_ev_cell": 2.73, "dft_energy_ev_per_atom": -4.79, "ef_ev_per_fu": 1.25, "space_group": "No. 99"}


[18]
{"formula": "YTiCd3", "functional": "PBEsol", "state": "relaxed", "cell": [[5.498, 0.000, 0.000], [0.000, 5.498, 0.000], [0.000, 0.000, 5.498]], "species": ["Y", "Ti", "Cd", "Cd", "Cd"], "fractional_positions": [[0.000, 0.000, 0.000], [0.500, 0.500, 0.500], [0.000, 0.000, 0.500], [0.000, 0.500, 0.000], [0.500, 0.000, 0.000]], "total_magnetization_mub_per_cell": 2.434, "dos_at_fermi_per_ev_cell": 6.64, "dft_energy_ev_per_atom": -2.47, "ef_ev_per_fu": 6.39, "space_group": "No. 221"}


[19]
{"formula": "As2AuSeS", "functional": "PBEsol", "state": "relaxed", "cell": [[4.958, 0.000, 0.000], [0.000, 4.958, 0.000], [0.000, 0.000, 4.897]], "species": ["As", "As", "Au", "Se", "S"], "fractional_positions": [[0.000, 0.500, 0.000], [0.500, 0.000, 0.000], [0.000, 0.000, 0.000], [0.000, 0.000, 0.500], [0.500, 0.500, 0.500]], "total_magnetization_mub_per_cell": 0.009, "dos_at_fermi_per_ev_cell": 5.94, "e_form_raw_ev_per_atom": 1.05, "dft_energy_ev_per_atom": -3.42, "space_group": "No. 123"}


[20]
{"formula": "KZr2MnCo", "functional": "PBEsol", "state": "relaxed", "cell": [[4.805, 0.000, 0.000], [0.000, 4.805, 0.000], [0.000, 0.000, 4.857]], "species": ["K", "Zr", "Zr", "Mn", "Co"], "fractional_positions": [[0.000, 0.000, 0.000], [0.000, 0.500, 0.500], [0.500, 0.000, 0.500], [0.500, 0.500, 0.000], [0.500, 0.500, 0.500]], "total_magnetization_mub_per_cell": 3.466, "dos_at_fermi_per_ev_cell": 5.02, "dft_energy_ev_per_atom": -6.66, "ef_ev_per_fu": 3.52, "space_group": "No. 123"}


no.,theoretical density (g/cm3)
1,4.21
2,4.94
3,9.26
4,7.12
5,9.51
6,5.99
7,20.63
8,12.02
9,10.82
10,3.29
11,1.63
12,2.65
13,9.44
14,6.71
15,7.35
16,6.71
17,13.05
18,4.74
19,6.31
20,4.97